Run A
Crystalline Tl2ZnRe at its relaxed geometry. Source: Alexandria via LeMat-Bulk, functional PBE-GGA.

a b c (Å): 10.267 2.949 5.317
angles (deg): 90.00 96.09 90.00
Space group C2/m (No. 12)
One atom of each set of equivalent atoms:
Tl1 0.238 0.000 0.244
Zn1 0.000 0.000 0.500
Re1 0.000 0.500 0.000

Properties
Volume = 160 Å³/cell

Run B
Crystalline Tl2ZnRe at its relaxed geometry. Source: Alexandria via LeMat-Bulk, functional PBE-GGA.

a b c (Å): 6.969 6.969 6.969
angles (deg): 90.00 90.00 90.00
Space group F-43m (No. 216)
One atom of each set of equivalent atoms:
Tl1 0.000 0.000 0.000
Tl2 0.250 0.250 0.250
Zn1 0.000 0.000 0.500
Re1 0.250 0.250 0.750

Properties
Volume = 339 Å³/cell

It turns out run A is the most stable, with the second structure 0.266 eV/atom higher.

Run A
Crystalline Tl3ZnRe at its relaxed geometry. Source: Alexandria via LeMat-Bulk, functional PBE-GGA.

a b c (Å): 5.237 5.237 5.237
angles (deg): 90.00 90.00 90.00
Space group Pm-3m (No. 221)
One atom of each set of equivalent atoms:
Tl1 0.000 0.000 0.500
Zn1 0.000 0.000 0.000
Re1 0.500 0.500 0.500

Properties
Volume = 144 Å³/cell

Run B
Crystalline Tl3ZnRe at its relaxed geometry. Source: Alexandria via LeMat-Bulk, functional PBE-GGA.

a b c (Å): 5.365 5.365 5.365
angles (deg): 90.00 90.00 90.00
Space group Pm-3m (No. 221)
One atom of each set of equivalent atoms:
Tl1 0.000 0.000 0.500
Zn1 0.500 0.500 0.500
Re1 0.000 0.000 0.000

Properties
Volume = 154 Å³/cell

It turns out run B is the most stable, with the second structure 0.656 eV/atom higher.

Run A
Crystalline Zr3TlRe at its relaxed geometry. Source: Alexandria via LeMat-Bulk, functional PBE-GGA.

a b c (Å): 5.092 5.092 5.092
angles (deg): 90.00 90.00 90.00
Space group Pm-3m (No. 221)
One atom of each set of equivalent atoms:
Zr1 0.000 0.000 0.500
Tl1 0.500 0.500 0.500
Re1 0.000 0.000 0.000

Properties
Volume = 132 Å³/cell

Run B
Crystalline Zr3TlRe at its relaxed geometry. Source: Alexandria via LeMat-Bulk, functional PBE-GGA.

a b c (Å): 5.183 5.183 5.183
angles (deg): 90.00 90.00 90.00
Space group Pm-3m (No. 221)
One atom of each set of equivalent atoms:
Zr1 0.000 0.000 0.500
Tl1 0.000 0.000 0.000
Re1 0.500 0.500 0.500

Properties
Volume = 139 Å³/cell

It turns out run A is the most stable, with the second structure 1.428 eV/atom higher.

Run A
Crystalline ZrTl2Re at its relaxed geometry. Source: Alexandria via LeMat-Bulk, functional PBE-GGA.

a b c (Å): 6.984 6.984 6.984
angles (deg): 90.00 90.00 90.00
Space group F-43m (No. 216)
One atom of each set of equivalent atoms:
Zr1 0.000 0.000 0.000
Tl1 0.000 0.000 0.500
Tl2 0.250 0.250 0.750
Re1 0.250 0.250 0.250

Properties
Volume = 341 Å³/cell

Run B
Crystalline ZrTl2Re at its relaxed geometry. Source: Alexandria via LeMat-Bulk, functional PBE-GGA.

a b c (Å): 3.207 5.311 10.000
angles (deg): 90.00 90.00 90.00
Space group Cmmm (No. 65)
One atom of each set of equivalent atoms:
Zr1 0.000 0.000 0.000
Tl1 0.000 0.500 0.263
Re1 0.000 0.000 0.500

Properties
Volume = 170 Å³/cell

It turns out run B is the most stable, with the second structure 0.037 eV/atom higher.

Run A
Crystalline ZrTl2Re at its relaxed geometry. Source: Alexandria via LeMat-Bulk, functional PBE-GGA.

a b c (Å): 3.357 3.350 8.579
angles (deg): 90.00 101.19 90.00
Space group Pm (No. 6)
One atom of each set of equivalent atoms:
Zr1 0.000 0.000 0.000
Tl1 0.639 0.500 0.281
Tl2 0.806 0.000 0.610
Re1 0.418 0.500 0.835

Properties
Volume = 95 Å³/cell

Run B
Crystalline ZrTl2Re at its relaxed geometry. Source: Alexandria via LeMat-Bulk, functional PBE-GGA.

a b c (Å): 6.854 6.854 6.854
angles (deg): 90.00 90.00 90.00
Space group Fm-3m (No. 225)
One atom of each set of equivalent atoms:
Zr1 0.000 0.000 0.000
Tl1 0.250 0.250 0.250
Re1 0.000 0.000 0.500

Properties
Volume = 322 Å³/cell

It turns out run A is the most stable, with the second structure 0.277 eV/atom higher.

Run A
Crystalline ZrTl2Re at its relaxed geometry. Source: Alexandria via LeMat-Bulk, functional PBE-GGA.

a b c (Å): 3.361 3.361 8.257
angles (deg): 90.00 90.00 90.00
Space group P4mm (No. 99)
One atom of each set of equivalent atoms:
Zr1 0.000 0.000 0.000
Tl1 0.000 0.000 0.399
Tl2 0.500 0.500 0.709
Re1 0.500 0.500 0.168

Properties
Volume = 93 Å³/cell

Run B
Crystalline ZrTl2Re at its relaxed geometry. Source: Alexandria via LeMat-Bulk, functional PBE-GGA.

a b c (Å): 7.890 7.890 5.885
angles (deg): 90.00 90.00 90.00
Space group I-42d (No. 122)
One atom of each set of equivalent atoms:
Zr1 0.000 0.000 0.000
Tl1 0.229 0.250 0.625
Re1 0.000 0.000 0.500

Properties
Volume = 366 Å³/cell

Run C
Crystalline ZrTl2Re at its relaxed geometry. Source: Alexandria via LeMat-Bulk, functional PBE-GGA.

a b c (Å): 5.951 9.204 3.067
angles (deg): 90.00 90.00 90.00
Space group Cmmm (No. 65)
One atom of each set of equivalent atoms:
Zr1 0.000 0.000 0.000
Tl1 0.250 0.250 0.500
Re1 0.000 0.500 0.000

Properties
Volume = 168 Å³/cell

Run D
Crystalline ZrTl2Re at its relaxed geometry. Source: Alexandria via LeMat-Bulk, functional PBE-GGA.

a b c (Å): 3.2980 3.2980 29.8219
angles (deg): 90.00 90.00 120.00
Space group R3m (No. 160, hexagonal axes)
One atom of each set of equivalent atoms:
Zr1 0.0000 0.0000 0.0000
Tl1 0.0000 0.0000 0.2418
Tl2 0.0000 0.0000 0.4768
Re1 0.0000 0.0000 0.7289

Properties
Volume = 281 Å³/cell

It turns out run A is the most stable, with the second structure 0.045 eV/atom higher.